Record 1
A relaxed structure of NaMnBiOs, computed with PBE. Values from VASP.

Summary:
* ΔE_f: 16.74 kcal/mol of atoms
* space group: P1, No. 1
* density of states at the Fermi level: 0.690 states/eV/atom

The structure in Quantum ESPRESSO input format:
```
&SYSTEM
  ibrav = 0, nat = 4, ntyp = 4
/
ATOMIC_SPECIES
Na 22.99 Na.upf
Mn 54.94 Mn.upf
Bi 208.98 Bi.upf
Os 190.23 Os.upf
ATOMIC_POSITIONS crystal
Na 0.401 0.939 0.979
Mn 0.607 0.591 0.567
Bi 0.712 0.182 0.361
Os 0.975 0.516 0.832
CELL_PARAMETERS angstrom
3.364 -0.006 0.013
0.002 5.007 0.002
1.664 2.170 5.274
```



Record 2
A relaxed structure of Nd2HPd6Pb, computed with PBE. Values from VASP.

Summary:
* space group: P-1, No. 2
* VASP energy: -5.32 eV/atom
* density of states at the Fermi level: 0.419 states/eV/atom

The structure in Quantum ESPRESSO input format:
```
&SYSTEM
  ibrav = 0, nat = 10, ntyp = 4
/
ATOMIC_SPECIES
Nd 144.24 Nd.upf
H 1.01 H.upf
Pd 106.42 Pd.upf
Pb 207.20 Pb.upf
ATOMIC_POSITIONS crystal
Nd 0.745 0.203 0.551
Nd 0.255 0.797 0.449
H 0.500 0.500 0.000
Pd 0.301 0.353 0.456
Pd 0.715 0.712 0.993
Pd 0.202 0.655 0.039
Pd 0.798 0.345 0.961
Pd 0.285 0.288 0.007
Pd 0.699 0.647 0.544
Pb 0.000 0.000 0.000
CELL_PARAMETERS angstrom
5.762 0.021 -0.038
-0.033 7.298 -0.983
2.855 2.923 4.070
```



Record 3
A relaxed structure of Pa6Pb4O19, computed with PBE. Values from VASP.

Summary:
* space group: I23, No. 197
* density of states at the Fermi level: 0.000 states/eV/atom
* raw formation energy: -2.84 eV/atom

The structure in Quantum ESPRESSO input format:
```
&SYSTEM
  ibrav = 0, nat = 29, ntyp = 3
/
ATOMIC_SPECIES
Pa 231.04 Pa.upf
Pb 207.20 Pb.upf
O 16.00 O.upf
ATOMIC_POSITIONS crystal
Pa 0.326 0.500 0.826
Pa 0.674 0.500 0.174
Pa 0.174 0.674 0.500
Pa 0.826 0.326 0.500
Pa 0.500 0.826 0.326
Pa 0.500 0.174 0.674
Pb 0.000 0.000 0.718
Pb 0.000 0.718 0.000
Pb 0.282 0.282 0.282
Pb 0.718 0.000 0.000
O 0.628 0.000 0.628
O 0.372 0.000 0.372
O 0.372 0.372 0.000
O 0.628 0.628 0.000
O 0.000 0.628 0.628
O 0.000 0.372 0.372
O 0.000 0.000 0.000
O 0.346 0.315 0.609
O 0.654 0.263 0.969
O 0.706 0.737 0.391
O 0.969 0.654 0.263
O 0.294 0.685 0.031
O 0.609 0.346 0.315
O 0.031 0.294 0.685
O 0.391 0.706 0.737
O 0.685 0.031 0.294
O 0.263 0.969 0.654
O 0.315 0.609 0.346
O 0.737 0.391 0.706
CELL_PARAMETERS angstrom
8.332 0.000 -2.946
-4.166 7.216 -2.946
0.000 0.000 8.838
```



Record 4
A relaxed structure of Nd2HgGe, computed with PBE. Values from VASP.

Summary:
* ΔE_f: -13.26 kcal/mol of atoms
* space group: P4/mmm, No. 123
* density of states at the Fermi level: 0.797 states/eV/atom

The structure in Quantum ESPRESSO input format:
```
&SYSTEM
  ibrav = 0, nat = 4, ntyp = 3
/
ATOMIC_SPECIES
Ge 72.64 Ge.upf
Nd 144.24 Nd.upf
Hg 200.59 Hg.upf
ATOMIC_POSITIONS crystal
Ge 0.500 0.000 0.000
Nd 0.000 0.000 0.500
Nd 0.000 0.500 0.000
Hg 0.500 0.500 0.500
CELL_PARAMETERS angstrom
3.869 0.000 0.000
0.000 5.241 0.000
0.000 0.000 5.241
```